Entry 1:
Entry from Alexandria: a geometry-optimized ReHRuRh2 structure (PBE).

Geometry as POSCAR:
```
ReHRuRh2
1.0
3.8474 0.0000 0.0000
0.0000 3.8474 0.0000
0.0000 0.0000 4.0103
Re H Ru Rh
1 1 1 2
Direct
0.0000 0.0000 0.0000
0.0000 0.0000 0.5000
0.5000 0.5000 0.0000
0.0000 0.5000 0.5000
0.5000 0.0000 0.5000
```

Values from the calculation:
The space-group type is P4/mmm. The value obtained for the total energy is -7.855 eV/atom.

=====

Entry 2:
Entry from Alexandria: a geometry-optimized Fe2AsPt structure (PBE).

Geometry as POSCAR:
```
Fe2AsPt
1.0
1.4332 0.8274 8.0493
-1.4332 0.8274 8.0493
0.0000 -1.6549 8.0493
Fe As Pt
2 1 1
Direct
0.0000 0.0000 0.0000
0.2581 0.2581 0.2581
0.5160 0.5160 0.5160
0.7518 0.7518 0.7518
```

Values from the calculation:
The space-group type is R3m. The value obtained for the total energy is -6.836 eV/atom.

=====

Entry 3:
Entry from Alexandria: a geometry-optimized KAg4Sb2 structure (PBE).

Geometry as POSCAR:
```
KAg4Sb2
1.0
2.3633 1.3645 9.3207
-2.3633 1.3645 9.3207
0.0000 -2.7289 9.3207
K Ag Sb
1 4 2
Direct
0.0000 0.0000 0.0000
0.1437 0.1437 0.1437
0.4416 0.4416 0.4416
0.5584 0.5584 0.5584
0.8563 0.8563 0.8563
0.2471 0.2471 0.2471
0.7529 0.7529 0.7529
```

Values from the calculation:
Its uncorrected formation energy is -0.141 eV per atom. The space-group type is R-3m.

=====

Entry 4:
Entry from Alexandria: a geometry-optimized LiUF4 structure (PBE).

Geometry as POSCAR:
```
LiUF4
1.0
3.5945 -3.7520 0.0000
3.5945 3.7520 0.0000
0.0000 0.0000 3.2603
Li U F
1 1 4
Direct
0.0000 0.0000 0.0000
0.5000 0.5000 0.5000
0.1934 0.1934 0.5000
0.2698 0.7302 0.0000
0.7302 0.2698 0.0000
0.8066 0.8066 0.5000
```

Values from the calculation:
Its uncorrected formation energy is -3.134 eV per atom. The space-group type is Cmmm.

=====

Entry 5:
Entry from Alexandria: a geometry-optimized PmCdAu structure (PBE).

Geometry as POSCAR:
```
PmCdAu
1.0
-1.9151 1.9151 4.9283
1.9151 -1.9151 4.9283
1.9151 1.9151 -4.9283
Pm Cd Au
1 1 1
Direct
0.0000 0.0000 0.0000
0.3175 0.3175 0.0000
0.6670 0.6670 0.0000
```

Values from the calculation:
The space-group type is I4mm. The value obtained for the total energy is -3.486 eV/atom.

=====

Entry 6:
Entry from Alexandria: a geometry-optimized SrCa2F structure (PBE).

Geometry as POSCAR:
```
SrCa2F
1.0
1.9137 1.1049 10.2779
-1.9137 1.1049 10.2779
0.0000 -2.2098 10.2779
Sr Ca F
1 2 1
Direct
0.0000 0.0000 0.0000
0.1172 0.1172 0.1172
0.8828 0.8828 0.8828
0.5000 0.5000 0.5000
```

Values from the calculation:
Its uncorrected formation energy is -1.072 eV per atom. The space-group type is R-3m.

=====

no.,spin magnetization (μB/f.u.)
1,0.0
2,5.2
3,0.0
4,3.0
5,0.0
6,0.6